Version a
# SiTeRh2

An optimized crystal structure of SiTeRh2 (PBE, Alexandria).

Unit cell a=6.9788 b=6.9788 c=6.9788 alpha=154.12 beta=151.83 gamma=38.63
Element x y z (fractional)
Si (0.0000, 0.0000, 0.0000)
Te (0.2479, 0.7479, 0.5000)
Rh (0.4364, 0.4364, 0.0000)
Rh (0.6268, 0.1268, 0.5000)

Calculated values
* space-group type: Imm2, No. 44
* crystal system: orthorhombic

Version b
# SiTeRh2

An optimized crystal structure of SiTeRh2 (PBE, Alexandria).

Unit cell a=7.2995 b=7.2995 c=7.2995 alpha=138.14 beta=138.14 gamma=60.69
Element x y z (fractional)
Si (0.0000, 0.0000, 0.0000)
Si (0.7500, 0.2500, 0.5000)
Te (0.2500, 0.7500, 0.5000)
Te (0.5000, 0.5000, 0.0000)
Rh (0.0728, 0.6250, 0.9478)
Rh (0.3750, 0.3228, 0.4478)
Rh (0.6772, 0.1250, 0.0522)
Rh (0.8750, 0.9272, 0.5522)

Calculated values
* space-group type: I-42d, No. 122
* crystal system: tetragonal

The structure with the greatest stability is version a.

Version a
# B5C7

An optimized crystal structure of B5C7 (PBE, Alexandria).

Unit cell a=4.5129 b=4.5129 c=8.2712 alpha=118.29 beta=118.29 gamma=32.04
Element x y z (fractional)
B (0.0000, 0.0000, 0.0000)
B (0.2796, 0.2796, 0.1736)
B (0.4762, 0.4762, 0.6517)
B (0.5075, 0.5075, 0.1623)
B (0.7910, 0.7910, 0.3327)
C (0.1319, 0.1319, 0.4889)
C (0.1705, 0.1705, 0.9561)
C (0.3075, 0.3075, 0.6881)
C (0.6258, 0.6258, 0.3802)
C (0.6658, 0.6658, 0.8526)
C (0.8145, 0.8145, 0.7971)
C (0.9737, 0.9737, 0.5241)

Calculated values
* space-group type: Cm, No. 8
* crystal system: monoclinic

Version b
# B5C7

An optimized crystal structure of B5C7 (PBE, Alexandria).

Unit cell a=4.7766 b=4.7766 c=5.4404 alpha=112.85 beta=112.85 gamma=44.29
Element x y z (fractional)
B (0.0000, 0.0000, 0.0000)
B (0.3608, 0.3150, 0.6744)
B (0.6120, 0.0917, 0.4006)
B (0.6850, 0.6392, 0.3256)
B (0.9083, 0.3880, 0.5994)
C (0.0416, 0.9584, 0.5000)
C (0.2690, 0.7206, 0.2620)
C (0.2794, 0.7310, 0.7380)
C (0.3325, 0.3332, 0.1558)
C (0.5699, 0.0714, 0.9200)
C (0.6668, 0.6675, 0.8442)
C (0.9286, 0.4301, 0.0800)

Calculated values
* space-group type: C2, No. 5
* crystal system: monoclinic

The structure with the greatest stability is version a.

Version a
# InTc2Se

An optimized crystal structure of InTc2Se (PBE, Alexandria).

Unit cell a=5.2276 b=5.2276 c=3.1019 alpha=104.74 beta=104.74 gamma=112.80
Element x y z (fractional)
In (0.0000, 0.0000, 0.0000)
Tc (0.0000, 0.5000, 0.5000)
Tc (0.5000, 0.0000, 0.5000)
Se (0.5000, 0.5000, 0.0000)

Calculated values
* space-group type: C2/m, No. 12
* crystal system: monoclinic

Version b
# InTc2Se

An optimized crystal structure of InTc2Se (PBE, Alexandria).

Unit cell a=3.1496 b=4.4662 c=4.9061 alpha=90.00 beta=90.00 gamma=90.00
Element x y z (fractional)
In (0.0000, 0.0000, 0.0000)
Tc (0.0000, 0.5000, 0.5000)
Tc (0.5000, 0.5000, 0.0000)
Se (0.5000, 0.0000, 0.5000)

Calculated values
* space-group type: Pmmm, No. 47
* crystal system: orthorhombic

The structure with the greatest stability is version b.